[1]
The following is a GGA-PBE calculation of a relaxed structure of PrAuSO, from the Open Quantum Materials Database. Values from VASP.

Results
The space group is Pba2, No. 32. Its energy above the lowest structure with this stoichiometry is 0 meV per atom. The size of the total moment is 0.01 Bohr magnetons per cell.

Quantum ESPRESSO input file:
```
&SYSTEM
  ibrav = 0, nat = 16, ntyp = 4
/
ATOMIC_SPECIES
Pr 140.91 Pr.upf
Au 196.97 Au.upf
S 32.06 S.upf
O 16.00 O.upf
CELL_PARAMETERS angstrom
5.809 0.000 0.000
0.000 5.814 0.000
0.000 0.000 9.134
ATOMIC_POSITIONS crystal
Pr 0.000 0.000 0.000
Pr 0.000 0.500 0.262
Pr 0.500 0.000 0.262
Pr 0.500 0.500 0.000
Au 0.250 0.003 0.630
Au 0.250 0.503 0.630
Au 0.750 0.497 0.630
Au 0.750 0.997 0.630
S 0.000 0.000 0.421
S 0.000 0.500 0.839
S 0.500 0.000 0.839
S 0.500 0.500 0.421
O 0.250 0.250 0.131
O 0.250 0.750 0.131
O 0.750 0.250 0.131
O 0.750 0.750 0.131
```


[2]
The following is a GGA-PBE calculation of a relaxed structure of HgAsNO, from the Open Quantum Materials Database. Values from VASP.

Results
The space group is P4/nmm, No. 129. Its energy above the lowest structure with this stoichiometry is 564 meV per atom.

Quantum ESPRESSO input file:
```
&SYSTEM
  ibrav = 0, nat = 8, ntyp = 4
/
ATOMIC_SPECIES
Hg 200.59 Hg.upf
As 74.92 As.upf
N 14.01 N.upf
O 16.00 O.upf
CELL_PARAMETERS angstrom
4.392 0.000 0.000
0.000 4.392 0.000
0.000 0.000 5.980
ATOMIC_POSITIONS crystal
Hg 0.250 0.250 0.118
Hg 0.750 0.750 0.882
As 0.250 0.750 0.500
As 0.750 0.250 0.500
N 0.250 0.250 0.531
N 0.750 0.750 0.469
O 0.250 0.750 0.000
O 0.750 0.250 0.000
```


[3]
The following is a GGA-PBE calculation of a relaxed structure of NpNbRe, from the Open Quantum Materials Database. Values from VASP.

Results
The space group is F-43m, No. 216. Its energy above the lowest structure with this stoichiometry is 0 meV per atom. The size of the total moment is 3.78 Bohr magnetons per cell. As for the formation energy: 534 meV/atom.

Quantum ESPRESSO input file:
```
&SYSTEM
  ibrav = 0, nat = 3, ntyp = 3
/
ATOMIC_SPECIES
Np 237.00 Np.upf
Nb 92.91 Nb.upf
Re 186.21 Re.upf
CELL_PARAMETERS angstrom
0.000 3.195 3.195
3.195 0.000 3.195
3.195 3.195 0.000
ATOMIC_POSITIONS crystal
Np 0.000 0.000 0.000
Nb 0.500 0.500 0.500
Re 0.250 0.250 0.250
```


[4]
The following is a GGA-PBE calculation of a relaxed structure of InCuTe2OsS, from the Open Quantum Materials Database. Values from VASP.

Results
The space group is Cmcm, No. 63. For the total energy, the calculation gives -4.631 eV/atom. The size of the total moment is 0.03 Bohr magnetons per cell.

Quantum ESPRESSO input file:
```
&SYSTEM
  ibrav = 0, nat = 12, ntyp = 5
/
ATOMIC_SPECIES
In 114.82 In.upf
Cu 63.55 Cu.upf
Te 127.60 Te.upf
Os 190.23 Os.upf
S 32.06 S.upf
CELL_PARAMETERS angstrom
1.983 -7.146 0.000
1.983 7.146 0.000
0.000 0.000 9.238
ATOMIC_POSITIONS crystal
In 0.231 0.769 0.750
In 0.769 0.231 0.250
Cu 0.005 0.995 0.250
Cu 0.995 0.005 0.750
Te 0.129 0.871 0.048
Te 0.129 0.871 0.452
Te 0.871 0.129 0.548
Te 0.871 0.129 0.952
Os 0.500 0.500 0.000
Os 0.500 0.500 0.500
S 0.429 0.571 0.250
S 0.571 0.429 0.750
```


[5]
The following is a GGA-PBE calculation of a relaxed structure of Li8Cd3, from the Open Quantum Materials Database. Values from VASP.

Results
The space group is C2/m, No. 12. For the total energy, the calculation gives -1.819 eV/atom.

Quantum ESPRESSO input file:
```
&SYSTEM
  ibrav = 0, nat = 11, ntyp = 2
/
ATOMIC_SPECIES
Li 6.94 Li.upf
Cd 112.41 Cd.upf
CELL_PARAMETERS angstrom
3.991 -2.306 0.000
3.991 2.306 0.000
-2.653 0.000 10.408
ATOMIC_POSITIONS crystal
Li 0.090 0.090 0.269
Li 0.179 0.179 0.539
Li 0.271 0.271 0.813
Li 0.363 0.363 0.089
Li 0.637 0.637 0.911
Li 0.729 0.729 0.187
Li 0.821 0.821 0.461
Li 0.910 0.910 0.731
Cd 0.000 0.000 0.000
Cd 0.453 0.453 0.358
Cd 0.547 0.547 0.642
```


[6]
The following is a GGA-PBE calculation of a relaxed structure of Sc2NiBi2Pt, from the Open Quantum Materials Database. Values from VASP.

Results
The space group is Pm, No. 6. For the total energy, the calculation gives -6.185 eV/atom. The size of the total moment is 0.01 Bohr magnetons per cell.

Quantum ESPRESSO input file:
```
&SYSTEM
  ibrav = 0, nat = 24, ntyp = 4
/
ATOMIC_SPECIES
Sc 44.96 Sc.upf
Ni 58.69 Ni.upf
Bi 208.98 Bi.upf
Pt 195.08 Pt.upf
CELL_PARAMETERS angstrom
7.853 0.000 0.000
0.000 4.524 0.000
-2.574 0.000 14.792
ATOMIC_POSITIONS crystal
Sc 0.000 0.000 0.000
Sc 0.001 0.500 0.502
Sc 0.249 0.000 0.749
Sc 0.253 0.500 0.257
Sc 0.497 0.000 0.502
Sc 0.500 0.500 0.001
Sc 0.749 0.500 0.750
Sc 0.750 0.000 0.258
Ni 0.313 0.000 0.938
Ni 0.313 0.500 0.442
Ni 0.560 0.000 0.687
Ni 0.812 0.000 0.441
Bi 0.127 0.000 0.385
Bi 0.138 0.500 0.880
Bi 0.373 0.000 0.121
Bi 0.385 0.500 0.625
Bi 0.611 0.000 0.871
Bi 0.627 0.500 0.385
Bi 0.861 0.000 0.623
Bi 0.875 0.500 0.128
Pt 0.062 0.500 0.688
Pt 0.065 0.000 0.193
Pt 0.562 0.500 0.193
Pt 0.812 0.500 0.937
```


[7]
The following is a GGA-PBE calculation of a relaxed structure of Y2Mo4Au3N3, from the Open Quantum Materials Database. Values from VASP.

Results
The space group is C2/c, No. 15. For the total energy, the calculation gives -8.154 eV/atom. The size of the total moment is 0.01 Bohr magnetons per cell.

Quantum ESPRESSO input file:
```
&SYSTEM
  ibrav = 0, nat = 24, ntyp = 4
/
ATOMIC_SPECIES
Y 88.91 Y.upf
Mo 95.94 Mo.upf
Au 196.97 Au.upf
N 14.01 N.upf
CELL_PARAMETERS angstrom
4.893 -2.848 0.000
4.893 2.848 0.000
-3.246 0.000 13.278
ATOMIC_POSITIONS crystal
Y 0.039 0.877 0.616
Y 0.123 0.961 0.884
Y 0.877 0.039 0.116
Y 0.961 0.123 0.384
Mo 0.195 0.363 0.069
Mo 0.318 0.465 0.431
Mo 0.363 0.195 0.569
Mo 0.465 0.318 0.931
Mo 0.535 0.682 0.069
Mo 0.637 0.805 0.431
Mo 0.682 0.535 0.569
Mo 0.805 0.637 0.931
Au 0.081 0.367 0.749
Au 0.367 0.081 0.249
Au 0.471 0.529 0.250
Au 0.529 0.471 0.750
Au 0.633 0.919 0.751
Au 0.919 0.633 0.251
N 0.000 0.500 0.500
N 0.157 0.687 0.000
N 0.313 0.843 0.500
N 0.500 0.000 0.000
N 0.687 0.157 0.500
N 0.843 0.313 0.000
```


[8]
The following is a GGA-PBE calculation of a relaxed structure of Nb2AsPt, from the Open Quantum Materials Database. Values from VASP.

Results
The space group is F-43m, No. 216. For the total energy, the calculation gives -7.667 eV/atom. The size of the total moment is 0.03 Bohr magnetons per cell.

Quantum ESPRESSO input file:
```
&SYSTEM
  ibrav = 0, nat = 4, ntyp = 3
/
ATOMIC_SPECIES
Nb 92.91 Nb.upf
As 74.92 As.upf
Pt 195.08 Pt.upf
CELL_PARAMETERS angstrom
0.000 3.246 3.246
3.246 0.000 3.246
3.246 3.246 0.000
ATOMIC_POSITIONS crystal
Nb 0.000 0.000 0.000
Nb 0.250 0.250 0.250
As 0.500 0.500 0.500
Pt 0.750 0.750 0.750
```


[9]
The following is a GGA-PBE calculation of a relaxed structure of ReNiHgB, from the Open Quantum Materials Database. Values from VASP.

Results
The space group is F-43m, No. 216. Its energy above the lowest structure with this stoichiometry is 554 meV per atom. The size of the total moment is 1.90 Bohr magnetons per cell.

Quantum ESPRESSO input file:
```
&SYSTEM
  ibrav = 0, nat = 4, ntyp = 4
/
ATOMIC_SPECIES
Re 186.21 Re.upf
Ni 58.69 Ni.upf
Hg 200.59 Hg.upf
B 10.81 B.upf
CELL_PARAMETERS angstrom
0.000 3.057 3.057
3.057 0.000 3.057
3.057 3.057 0.000
ATOMIC_POSITIONS crystal
Re 0.000 0.000 0.000
Ni 0.750 0.750 0.750
Hg 0.250 0.250 0.250
B 0.500 0.500 0.500
```


[10]
The following is a GGA-PBE calculation of a relaxed structure of Sm2OF2, from the Open Quantum Materials Database. Values from VASP.

Results
The space group is C2/m, No. 12. Its energy above the lowest structure with this stoichiometry is 95 meV per atom. The size of the total moment is 2.00 Bohr magnetons per cell.

Quantum ESPRESSO input file:
```
&SYSTEM
  ibrav = 0, nat = 10, ntyp = 3
/
ATOMIC_SPECIES
Sm 150.36 Sm.upf
O 16.00 O.upf
F 19.00 F.upf
CELL_PARAMETERS angstrom
4.281 -3.997 0.000
4.281 3.997 0.000
-0.328 0.000 5.128
ATOMIC_POSITIONS crystal
Sm 0.221 0.779 0.000
Sm 0.290 0.290 0.479
Sm 0.710 0.710 0.521
Sm 0.779 0.221 0.000
O 0.074 0.074 0.238
O 0.926 0.926 0.762
F 0.015 0.455 0.757
F 0.455 0.015 0.757
F 0.545 0.985 0.243
F 0.985 0.545 0.243
```


[11]
The following is a GGA-PBE calculation of a relaxed structure of Gd3Mg3TlCdHg, from the Open Quantum Materials Database. Values from VASP.

Results
The space group is P-6, No. 174. For the total energy, the calculation gives -2.810 eV/atom. The size of the total moment is 0.01 Bohr magnetons per cell.

Quantum ESPRESSO input file:
```
&SYSTEM
  ibrav = 0, nat = 9, ntyp = 5
/
ATOMIC_SPECIES
Gd 157.25 Gd.upf
Mg 24.30 Mg.upf
Tl 204.38 Tl.upf
Cd 112.41 Cd.upf
Hg 200.59 Hg.upf
CELL_PARAMETERS angstrom
7.568 0.000 0.000
-3.784 6.554 0.000
0.000 0.000 4.629
ATOMIC_POSITIONS crystal
Gd 0.004 0.425 0.000
Gd 0.421 0.996 0.000
Gd 0.575 0.579 0.000
Mg 0.004 0.761 0.500
Mg 0.239 0.243 0.500
Mg 0.757 0.996 0.500
Tl 0.667 0.333 0.500
Cd 0.000 0.000 0.000
Hg 0.333 0.667 0.500
```


[12]
The following is a GGA-PBE calculation of a relaxed structure of HoTmAsO, from the Open Quantum Materials Database. Values from VASP.

Results
The space group is Pmc2_1, No. 26. Its energy above the lowest structure with this stoichiometry is 0 meV per atom. The size of the total moment is 0.03 Bohr magnetons per cell.

Quantum ESPRESSO input file:
```
&SYSTEM
  ibrav = 0, nat = 8, ntyp = 4
/
ATOMIC_SPECIES
Ho 164.93 Ho.upf
Tm 168.93 Tm.upf
As 74.92 As.upf
O 16.00 O.upf
CELL_PARAMETERS angstrom
4.132 0.000 0.000
0.000 7.494 0.000
0.000 0.000 5.880
ATOMIC_POSITIONS crystal
Ho 0.000 0.212 0.000
Ho 0.000 0.788 0.500
Tm 0.500 0.389 0.575
Tm 0.500 0.611 0.075
As 0.000 0.162 0.490
As 0.000 0.838 0.990
O 0.500 0.332 0.939
O 0.500 0.668 0.439
```